[1]
ScAs2SeO | PBE-GGA | optimized geometry

Lattice parameters (Å, degrees): 4.389 4.389 4.523 90.00 90.00 90.00
Space group P4/mmm (No. 123)
One atom of each set of equivalent atoms:
Sc: 0.000 0.000 0.000 [1 per cell]
As: 0.000 0.500 0.500 [2 per cell]
Se: 0.500 0.500 0.000 [1 per cell]
O: 0.500 0.500 0.500 [1 per cell]

Computed properties:
Raw formation energy: -0.314 eV/atom
Calculated volume: 87.13 Å³/cell
Theoretical density: 5.52 g cm⁻³
D(E_F): 0.58 states/eV/atom

***

[2]
ScAs2SeO | PBE-GGA | optimized geometry

Lattice parameters (Å, degrees): 5.129 5.129 5.030 90.00 90.00 90.00
Space group P4/mmm (No. 123)
One atom of each set of equivalent atoms:
Sc: 0.000 0.000 0.000 [1 per cell]
As: 0.000 0.500 0.000 [2 per cell]
Se: 0.000 0.000 0.500 [1 per cell]
O: 0.500 0.500 0.500 [1 per cell]

Computed properties:
Raw formation energy: 0.559 eV/atom
Calculated volume: 132.30 Å³/cell
Theoretical density: 3.64 g cm⁻³
D(E_F): 1.14 states/eV/atom